# 1
Crystalline Fe2NiPdN at its relaxed geometry. Source: the Alexandria database, functional PBE.

Summary:
**Energy relative to the elements, uncorrected**: 95 meV per atom
**Final energy**: -7.1505 eV/atom

Lattice parameters (Å, degrees): 3.7788 3.7788 4.1391 90.00 90.00 90.00
Last column: nearest neighbours and their distance in Å.
Space group P4/mmm (No. 123)
One atom of each set of equivalent atoms:
Fe 0.0000 0.5000 0.0000 (multiplicity 2)  2 N 1.89
Ni 0.0000 0.0000 0.5000 (multiplicity 1)  4 Pd 2.67, 8 Fe 2.80
Pd 0.5000 0.5000 0.5000 (multiplicity 1)  2 N 2.07
N 0.5000 0.5000 0.0000 (multiplicity 1)  4 Fe 1.89, 2 Pd 2.07

---

# 2
Crystalline Fe2NiPtN at its relaxed geometry. Source: the Alexandria database, functional PBE.

Summary:
**Energy relative to the elements, uncorrected**: -149 meV per atom
**Final energy**: -7.5639 eV/atom

Lattice parameters (Å, degrees): 3.8517 3.8517 3.8339 90.00 90.00 90.00
Last column: nearest neighbours and their distance in Å.
Space group P4/mmm (No. 123)
One atom of each set of equivalent atoms:
Fe 0.0000 0.5000 0.0000 (multiplicity 2)  2 N 1.93
Ni 0.0000 0.0000 0.5000 (multiplicity 1)  2 N 1.92
Pt 0.5000 0.5000 0.5000 (multiplicity 1)  8 Fe 2.72, 4 Ni 2.72
N 0.0000 0.0000 0.0000 (multiplicity 1)  2 Ni 1.92, 4 Fe 1.93

---

# 3
Crystalline FeNi2RhN at its relaxed geometry. Source: the Alexandria database, functional PBE.

Summary:
**Energy relative to the elements, uncorrected**: 22 meV per atom
**Final energy**: -7.1184 eV/atom

Lattice parameters (Å, degrees): 3.7831 3.7831 3.8534 90.00 90.00 90.00
Last column: nearest neighbours and their distance in Å.
Space group P4/mmm (No. 123)
One atom of each set of equivalent atoms:
Fe 0.0000 0.0000 0.0000 (multiplicity 1)  2 N 1.93
Ni 0.0000 0.5000 0.5000 (multiplicity 2)  2 N 1.89
Rh 0.5000 0.5000 0.0000 (multiplicity 1)  4 Fe 2.68, 8 Ni 2.70
N 0.0000 0.0000 0.5000 (multiplicity 1)  4 Ni 1.89, 2 Fe 1.93

---

# 4
Crystalline FeNi2RhN at its relaxed geometry. Source: the Alexandria database, functional PBE.

Summary:
**Energy relative to the elements, uncorrected**: 169 meV per atom
**Final energy**: -6.9718 eV/atom

Lattice parameters (Å, degrees): 3.7487 3.7487 4.0993 90.00 90.00 90.00
Last column: nearest neighbours and their distance in Å.
Space group P4/mmm (No. 123)
One atom of each set of equivalent atoms:
Fe 0.0000 0.0000 0.0000 (multiplicity 1)  4 Rh 2.65, 8 Ni 2.78
Ni 0.0000 0.5000 0.5000 (multiplicity 2)  2 N 1.87
Rh 0.5000 0.5000 0.0000 (multiplicity 1)  2 N 2.05
N 0.5000 0.5000 0.5000 (multiplicity 1)  4 Ni 1.87, 2 Rh 2.05